No. 1
Crystalline NbGaSbO6 at its relaxed geometry. Source: Alexandria via LeMat-Bulk, functional PBE-GGA.

The space group is P-31c (No. 163) and the conventional cell measures 5.1780, 5.1780 and 9.2426 Å, with angles of 90.00, 90.00 and 120.00 degrees. The asymmetric unit holds Nb at (0.3333, 0.6667, 0.2500), Ga at (0.3333, 0.6667, 0.7500), Sb at (0.0000, 0.0000, 0.0000) and O at (0.0019, 0.3460, 0.6319).

The calculation puts the size of the total moment at 0.00 μB/atom. Its density of states at the Fermi level is 0.29 states/eV/atom. For the formation energy from raw total energies, the calculation gives -1.81 eV/atom. The value obtained for the volume is 214.6 Å³/cell.

No. 2
Crystalline La3Si2Pt4 at its relaxed geometry. Source: Alexandria via LeMat-Bulk, functional PBE-GGA.

The space group is C2/m (No. 12) and the conventional cell measures 11.3252, 4.2534 and 8.6822 Å, with angles of 90.00, 103.96 and 90.00 degrees. The asymmetric unit holds La at (0.0000, 0.0000, 0.0000), La at (0.1671, 0.5000, 0.6709), Si at (0.1077, 0.5000, 0.2848), Pt at (0.0592, 0.0000, 0.3794) and Pt at (0.2120, 0.5000, 0.0755).

The calculation puts the size of the total moment at 0.00 μB/atom. Its density of states at the Fermi level is 0.56 states/eV/atom. For the formation energy from raw total energies, the calculation gives -1.15 eV/atom. The value obtained for the volume is 405.9 Å³/cell.

Look up the formation energy from raw total energies of the second one. -1.15 eV/atom